A plane-wave DFT calculation with GGA-PBE was carried out for crystalline AlReTc at its relaxed geometry.

abc: 4.172 4.172 4.172
angles: 60.00 60.00 60.00
Sites, in units of the cell vectors:
1 Al 0.000 0.000 0.000
2 Re 0.500 0.500 0.500
3 Tc 0.750 0.750 0.750

Output
DOS at the Fermi energy, states/eV/cell: 2.802
E_form, eV per formula unit: 0.51
Total energy, eV/atom: -8.682
Volume, Å³ per atom: 17.1
Calculated density, g cm⁻³: 10.06


A plane-wave DFT calculation with GGA-PBE was carried out for crystalline PuZn10Cd at its relaxed geometry.

abc: 4.324 5.203 9.312
angles: 90.00 90.00 90.00
Sites, in units of the cell vectors:
1 Pu 0.000 0.000 0.000
2 Zn 0.000 0.000 0.342
3 Zn 0.000 0.000 0.658
4 Zn 0.000 0.500 0.188
5 Zn 0.000 0.500 0.812
6 Zn 0.500 0.000 0.500
7 Zn 0.500 0.239 0.235
8 Zn 0.500 0.239 0.765
9 Zn 0.500 0.500 0.000
10 Zn 0.500 0.761 0.235
11 Zn 0.500 0.761 0.765
12 Cd 0.000 0.500 0.500

Output
DOS at the Fermi energy, states/eV/cell: 13.890
E_form, eV per formula unit: -0.35
Total energy, eV/atom: -2.361
Volume, Å³ per atom: 17.5
Calculated density, g cm⁻³: 8.01


A plane-wave DFT calculation with GGA-PBE was carried out for crystalline Ti5Ga5Pd at its relaxed geometry.

abc: 6.322 6.322 6.813
angles: 105.10 105.10 47.45
Sites, in units of the cell vectors:
1 Ti 0.000 0.000 0.000
2 Ti 0.332 0.332 0.156
3 Ti 0.412 0.412 0.813
4 Ti 0.588 0.588 0.187
5 Ti 0.668 0.668 0.844
6 Ga 0.177 0.177 0.807
7 Ga 0.195 0.195 0.402
8 Ga 0.500 0.500 0.500
9 Ga 0.805 0.805 0.598
10 Ga 0.823 0.823 0.193
11 Pd 0.000 0.000 0.500

Output
DOS at the Fermi energy, states/eV/cell: 5.656
E_form, eV per formula unit: -1.51
Total energy, eV/atom: -5.573
Volume, Å³ per atom: 17.5
Calculated density, g cm⁻³: 6.00


A plane-wave DFT calculation with GGA-PBE was carried out for crystalline TaV3Co at its relaxed geometry.

abc: 6.293 6.293 4.882
angles: 90.00 90.00 132.64
Sites, in units of the cell vectors:
1 Ta 0.074 0.926 0.750
2 Ta 0.926 0.074 0.250
3 V 0.095 0.409 0.750
4 V 0.323 0.677 0.250
5 V 0.409 0.095 0.250
6 V 0.591 0.905 0.750
7 V 0.677 0.323 0.750
8 V 0.905 0.591 0.250
9 Co 0.500 0.500 0.000
10 Co 0.500 0.500 0.500

Output
DOS at the Fermi energy, states/eV/cell: 11.714
E_form, eV per formula unit: 0.70
Total energy, eV/atom: -9.122
Volume, Å³ per atom: 14.2
Calculated density, g cm⁻³: 9.17


A plane-wave DFT calculation with GGA-PBE was carried out for crystalline BaSr4Li at its relaxed geometry.

abc: 4.330 4.330 16.293
angles: 90.00 90.00 90.00
Sites, in units of the cell vectors:
1 Ba 0.000 0.000 0.000
2 Sr 0.000 0.000 0.375
3 Sr 0.000 0.000 0.625
4 Sr 0.500 0.500 0.194
5 Sr 0.500 0.500 0.806
6 Li 0.500 0.500 0.500

Output
DOS at the Fermi energy, states/eV/cell: 6.179
E_form, eV per formula unit: 0.08
Total energy, eV/atom: -1.747
Volume, Å³ per atom: 50.9
Calculated density, g cm⁻³: 2.69


A plane-wave DFT calculation with GGA-PBE was carried out for crystalline Nd6Tl2SbTe3 at its relaxed geometry.

abc: 10.208 10.208 9.238
angles: 105.60 105.60 25.04
Sites, in units of the cell vectors:
1 Nd 0.003 0.003 0.245
2 Nd 0.335 0.335 0.409
3 Nd 0.335 0.335 0.912
4 Nd 0.665 0.665 0.088
5 Nd 0.665 0.665 0.591
6 Nd 0.997 0.997 0.755
7 Tl 0.170 0.170 0.343
8 Tl 0.830 0.830 0.657
9 Sb 0.500 0.500 0.000
10 Te 0.165 0.165 0.839
11 Te 0.500 0.500 0.500
12 Te 0.835 0.835 0.161

Output
DOS at the Fermi energy, states/eV/cell: 6.225
Total energy, eV/atom: -4.946
Uncorrected formation energy, eV per formula unit: -12.5
Volume, Å³ per atom: 32.6
Calculated density, g cm⁻³: 7.54


A plane-wave DFT calculation with GGA-PBE was carried out for crystalline K2YTc at its relaxed geometry.

abc: 3.230 3.230 13.010
angles: 90.00 90.00 115.64
Sites, in units of the cell vectors:
1 K 0.000 0.000 0.218
2 K 0.000 0.000 0.782
3 Y 0.500 0.500 0.500
4 Tc 0.500 0.500 0.000

Output
DOS at the Fermi energy, states/eV/cell: 5.073
E_form, eV per formula unit: 4.95
Total energy, eV/atom: -3.519
Volume, Å³ per atom: 30.6
Calculated density, g cm⁻³: 3.60


A plane-wave DFT calculation with GGA-PBE was carried out for crystalline LaNd2Ge at its relaxed geometry.

abc: 4.232 9.549 6.532
angles: 90.00 108.83 90.00
Sites, in units of the cell vectors:
1 La 0.067 0.250 0.136
2 La 0.933 0.750 0.864
3 Nd 0.354 0.053 0.710
4 Nd 0.354 0.447 0.710
5 Nd 0.646 0.553 0.290
6 Nd 0.646 0.947 0.290
7 Ge 0.247 0.750 0.491
8 Ge 0.753 0.250 0.509

Output
DOS at the Fermi energy, states/eV/cell: 12.020
E_form, eV per formula unit: -1.73
Total energy, eV/atom: -5.203
Volume, Å³ per atom: 31.2
Calculated density, g cm⁻³: 6.65


A plane-wave DFT calculation with GGA-PBE was carried out for crystalline CuNiRu at its relaxed geometry.

abc: 3.923 3.923 3.923
angles: 60.00 60.00 60.00
Sites, in units of the cell vectors:
1 Cu 0.000 0.000 0.000
2 Ni 0.750 0.750 0.750
3 Ru 0.500 0.500 0.500

Output
DOS at the Fermi energy, states/eV/cell: 5.468
E_form, eV per formula unit: 1.77
Total energy, eV/atom: -5.793
Volume, Å³ per atom: 14.2
Calculated density, g cm⁻³: 8.69


A plane-wave DFT calculation with GGA-PBE was carried out for crystalline Ho9Er4In11 at its relaxed geometry.

abc: 13.715 13.715 3.443
angles: 90.00 90.00 99.68
Sites, in units of the cell vectors:
1 Ho 0.000 0.000 0.000
2 Ho 0.124 0.644 0.000
3 Ho 0.292 0.470 0.000
4 Ho 0.356 0.876 0.000
5 Ho 0.470 0.292 0.000
6 Ho 0.530 0.708 0.000
7 Ho 0.644 0.124 0.000
8 Ho 0.708 0.530 0.000
9 Ho 0.876 0.356 0.000
10 Er 0.070 0.236 0.000
11 Er 0.236 0.070 0.000
12 Er 0.764 0.930 0.000
13 Er 0.930 0.764 0.000
14 In 0.081 0.435 0.500
15 In 0.137 0.863 0.500
16 In 0.268 0.268 0.500
17 In 0.329 0.671 0.500
18 In 0.435 0.081 0.500
19 In 0.500 0.500 0.500
20 In 0.565 0.919 0.500
21 In 0.671 0.329 0.500
22 In 0.732 0.732 0.500
23 In 0.863 0.137 0.500
24 In 0.919 0.565 0.500

Output
DOS at the Fermi energy, states/eV/cell: 18.750
E_form, eV per formula unit: -8.91
Total energy, eV/atom: -4.104
Volume, Å³ per atom: 26.6
Calculated density, g cm⁻³: 8.89


A plane-wave DFT calculation with GGA-PBE was carried out for crystalline CrHRh2 at its relaxed geometry.

abc: 7.200 7.200 4.364
angles: 90.00 90.00 158.12
Sites, in units of the cell vectors:
1 Cr 0.108 0.892 0.500
2 Cr 0.892 0.108 0.000
3 H 0.341 0.659 0.747
4 H 0.659 0.341 0.247
5 Rh 0.224 0.776 0.983
6 Rh 0.448 0.552 0.478
7 Rh 0.552 0.448 0.978
8 Rh 0.776 0.224 0.483

Output
DOS at the Fermi energy, states/eV/cell: 6.711
Total energy, eV/atom: -6.976
Volume, Å³ per atom: 10.5
Calculated density, g cm⁻³: 10.20


A plane-wave DFT calculation with GGA-PBE was carried out for crystalline RbY2FeH at its relaxed geometry.

abc: 4.944 4.944 6.969
angles: 90.00 90.00 90.00
Sites, in units of the cell vectors:
1 Rb 0.000 0.000 0.000
2 Y 0.000 0.500 0.500
3 Y 0.500 0.000 0.500
4 Fe 0.000 0.000 0.500
5 H 0.500 0.500 0.000

Output
DOS at the Fermi energy, states/eV/cell: 5.495
Total energy, eV/atom: -4.352
Volume, Å³ per atom: 34.1
Calculated density, g cm⁻³: 3.12


A plane-wave DFT calculation with GGA-PBE was carried out for crystalline Sc2SnBr at its relaxed geometry.

abc: 8.071 8.071 8.071
angles: 135.08 135.08 65.41
Sites, in units of the cell vectors:
1 Sc 0.120 0.625 0.995
2 Sc 0.375 0.370 0.495
3 Sc 0.630 0.125 0.005
4 Sc 0.875 0.880 0.505
5 Sn 0.250 0.750 0.500
6 Sn 0.500 0.500 0.000
7 Br 0.000 0.000 0.000
8 Br 0.750 0.250 0.500

Output
DOS at the Fermi energy, states/eV/cell: 7.986
Total energy, eV/atom: -4.882
Uncorrected formation energy, eV per formula unit: -1.2
Volume, Å³ per atom: 32.3
Calculated density, g cm⁻³: 3.71


A plane-wave DFT calculation with GGA-PBE was carried out for crystalline AlIrRu at its relaxed geometry.

abc: 4.153 4.153 4.153
angles: 60.00 60.00 60.00
Sites, in units of the cell vectors:
1 Al 0.000 0.000 0.000
2 Ir 0.250 0.250 0.250
3 Ru 0.500 0.500 0.500

Output
DOS at the Fermi energy, states/eV/cell: 2.665
E_form, eV per formula unit: -0.25
Total energy, eV/atom: -7.375
Volume, Å³ per atom: 16.9
Calculated density, g cm⁻³: 10.50


A plane-wave DFT calculation with GGA-PBE was carried out for crystalline Hf2Ga2H at its relaxed geometry.

abc: 7.313 7.313 5.538
angles: 90.00 90.00 146.37
Sites, in units of the cell vectors:
1 Hf 0.081 0.919 0.500
2 Hf 0.328 0.672 0.395
3 Hf 0.672 0.328 0.895
4 Hf 0.919 0.081 0.000
5 Ga 0.303 0.697 0.895
6 Ga 0.485 0.515 0.715
7 Ga 0.515 0.485 0.215
8 Ga 0.697 0.303 0.395
9 H 0.136 0.864 0.842
10 H 0.864 0.136 0.342

Output
DOS at the Fermi energy, states/eV/cell: 3.658
Total energy, eV/atom: -6.119
Volume, Å³ per atom: 16.4
Calculated density, g cm⁻³: 10.07


A plane-wave DFT calculation with GGA-PBE was carried out for crystalline Tm2Ga6CoCu at its relaxed geometry.

abc: 6.479 6.479 6.479
angles: 60.00 60.00 60.00
Sites, in units of the cell vectors:
1 Tm 0.250 0.250 0.250
2 Tm 0.750 0.750 0.750
3 Ga 0.248 0.248 0.752
4 Ga 0.248 0.752 0.248
5 Ga 0.248 0.752 0.752
6 Ga 0.752 0.248 0.248
7 Ga 0.752 0.248 0.752
8 Ga 0.752 0.752 0.248
9 Co 0.000 0.000 0.000
10 Cu 0.500 0.500 0.500

Output
DOS at the Fermi energy, states/eV/cell: 4.964
E_form, eV per formula unit: -1.61
Total energy, eV/atom: -3.992
Volume, Å³ per atom: 19.2
Calculated density, g cm⁻³: 7.59


A plane-wave DFT calculation with GGA-PBE was carried out for crystalline LiPmFeSb at its relaxed geometry.

abc: 4.686 4.686 4.686
angles: 60.00 60.00 60.00
Sites, in units of the cell vectors:
1 Li 0.000 0.000 0.000
2 Pm 0.250 0.250 0.250
3 Fe 0.500 0.500 0.500
4 Sb 0.750 0.750 0.750

Output
DOS at the Fermi energy, states/eV/cell: 4.206
Total energy, eV/atom: -5.098
Uncorrected formation energy, eV per formula unit: -1.1
Volume, Å³ per atom: 18.2
Calculated density, g cm⁻³: 7.52


A plane-wave DFT calculation with GGA-PBE was carried out for crystalline Ta2CoHg2Se6 at its relaxed geometry.

abc: 5.999 5.999 9.918
angles: 98.50 98.50 118.61
Sites, in units of the cell vectors:
1 Ta 0.177 0.823 0.000
2 Ta 0.823 0.177 0.000
3 Co 0.500 0.500 0.000
4 Hg 0.321 0.679 0.500
5 Hg 0.679 0.321 0.500
6 Se 0.101 0.411 0.832
7 Se 0.257 0.257 0.157
8 Se 0.411 0.101 0.832
9 Se 0.589 0.899 0.168
10 Se 0.743 0.743 0.843
11 Se 0.899 0.589 0.168

Output
DOS at the Fermi energy, states/eV/cell: 5.715
Total energy, eV/atom: -5.220
Uncorrected formation energy, eV per formula unit: -5.1
Volume, Å³ per atom: 27.3
Calculated density, g cm⁻³: 7.17


A plane-wave DFT calculation with GGA-PBE was carried out for crystalline La2Tb3ErSe6 at its relaxed geometry.

abc: 9.292 9.292 8.388
angles: 103.09 103.09 25.69
Sites, in units of the cell vectors:
1 La 0.167 0.167 0.335
2 La 0.833 0.833 0.665
3 Tb 0.170 0.170 0.835
4 Tb 0.500 0.500 0.500
5 Tb 0.830 0.830 0.165
6 Er 0.500 0.500 0.000
7 Se 0.005 0.005 0.757
8 Se 0.337 0.337 0.929
9 Se 0.338 0.338 0.407
10 Se 0.662 0.662 0.593
11 Se 0.663 0.663 0.071
12 Se 0.995 0.995 0.243

Output
DOS at the Fermi energy, states/eV/cell: 6.409
Total energy, eV/atom: -5.932
Uncorrected formation energy, eV per formula unit: -22.0
Volume, Å³ per atom: 25.4
Calculated density, g cm⁻³: 7.59


A plane-wave DFT calculation with GGA-PBE was carried out for crystalline DyNpGa2 at its relaxed geometry.

abc: 9.394 9.394 9.394
angles: 21.33 21.33 21.33
Sites, in units of the cell vectors:
1 Dy 0.000 0.000 0.000
2 Np 0.500 0.500 0.500
3 Ga 0.251 0.251 0.251
4 Ga 0.749 0.749 0.749

Output
DOS at the Fermi energy, states/eV/cell: 7.396
E_form, eV per formula unit: -0.18
Total energy, eV/atom: -5.945
Volume, Å³ per atom: 24.0
Calculated density, g cm⁻³: 9.32


A plane-wave DFT calculation with GGA-PBE was carried out for crystalline Ta2CoSe at its relaxed geometry.

abc: 8.202 8.202 8.202
angles: 22.33 22.33 22.33
Sites, in units of the cell vectors:
1 Ta 0.000 0.000 0.000
2 Ta 0.237 0.237 0.237
3 Co 0.501 0.501 0.501
4 Se 0.743 0.743 0.743

Output
DOS at the Fermi energy, states/eV/cell: 2.852
Total energy, eV/atom: -8.574
Uncorrected formation energy, eV per formula unit: 0.0
Volume, Å³ per atom: 17.5
Calculated density, g cm⁻³: 11.88


A plane-wave DFT calculation with GGA-PBE was carried out for crystalline Th2Al3Os at its relaxed geometry.

abc: 5.531 5.531 5.596
angles: 119.70 119.70 59.96
Sites, in units of the cell vectors:
1 Th 0.130 0.130 0.390
2 Th 0.870 0.870 0.610
3 Al 0.000 0.500 0.000
4 Al 0.500 0.000 0.000
5 Al 0.500 0.500 0.000
6 Os 0.500 0.500 0.500

Output
DOS at the Fermi energy, states/eV/cell: 3.597
E_form, eV per formula unit: -2.63
Total energy, eV/atom: -6.654
Volume, Å³ per atom: 20.3
Calculated density, g cm⁻³: 10.04


A plane-wave DFT calculation with GGA-PBE was carried out for crystalline Nd2Te4O11 at its relaxed geometry.

abc: 6.914 6.914 16.659
angles: 103.50 103.50 45.09
Sites, in units of the cell vectors:
1 Nd 0.130 0.633 0.962
2 Nd 0.367 0.870 0.538
3 Nd 0.633 0.130 0.462
4 Nd 0.870 0.367 0.038
5 Te 0.086 0.648 0.625
6 Te 0.104 0.660 0.301
7 Te 0.340 0.896 0.199
8 Te 0.352 0.914 0.875
9 Te 0.648 0.086 0.125
10 Te 0.660 0.104 0.801
11 Te 0.896 0.340 0.699
12 Te 0.914 0.352 0.375
13 O 0.062 0.890 0.400
14 O 0.110 0.938 0.100
15 O 0.169 0.248 0.946
16 O 0.180 0.313 0.627
17 O 0.248 0.169 0.446
18 O 0.304 0.402 0.831
19 O 0.312 0.545 0.547
20 O 0.313 0.180 0.127
21 O 0.350 0.650 0.250
22 O 0.402 0.304 0.331
23 O 0.455 0.688 0.953
24 O 0.545 0.312 0.047
25 O 0.598 0.696 0.669
26 O 0.650 0.350 0.750
27 O 0.687 0.820 0.873
28 O 0.688 0.455 0.453
29 O 0.696 0.598 0.169
30 O 0.752 0.831 0.554
31 O 0.820 0.687 0.373
32 O 0.831 0.752 0.054
33 O 0.890 0.062 0.900
34 O 0.938 0.110 0.600

Output
DOS at the Fermi energy, states/eV/cell: 0.000
Total energy, eV/atom: -6.328
Uncorrected formation energy, eV per formula unit: -30.9
Volume, Å³ per atom: 16.0
Calculated density, g cm⁻³: 5.93